VASP calculation (GGA-PBE) on an optimized crystal structure of CrAuBr.

Computed properties:
Magnetic moment: 4.1 μB/f.u.
Space group: Fmm2 (42)
Total DFT energy (no corrections): -4.72 eV/atom

Lattice parameters (Å, degrees): 6.986 6.692 3.354 80.74 70.98 28.28
Positions (direct):
Br: 0.302 0.302 0.698
Au: 0.029 0.029 0.971
Cr: 0.669 0.669 0.331

=====

VASP calculation (GGA-PBE) on an optimized crystal structure of CrAu2Br.

Computed properties:
Magnetic moment: 3.8 μB/f.u.
Space group: P4mm (99)
Total DFT energy (no corrections): -4.28 eV/atom

Lattice parameters (Å, degrees): 3.160 3.160 8.389 90.00 90.00 90.00
Positions (direct):
Au: 0.000 0.000 0.973
Br: 0.000 0.000 0.572
Au: 0.500 0.500 0.192
Cr: 0.500 0.500 0.764

=====

VASP calculation (GGA-PBE) on an optimized crystal structure of CrAu2Br.

Computed properties:
Magnetic moment: 3.5 μB/f.u.
Space group: Pm (6)
Total DFT energy (no corrections): -4.38 eV/atom

Lattice parameters (Å, degrees): 3.237 3.722 7.483 80.38 90.00 90.00
Positions (direct):
Au: 0.000 0.962 0.979
Br: 0.000 0.621 0.545
Cr: 0.500 0.520 0.800
Au: 0.500 0.396 0.176

=====

VASP calculation (GGA-PBE) on an optimized crystal structure of CrAuBr3.

Computed properties:
Magnetic moment: 3.7 μB/f.u.
Space group: Pm-3m (221)
Total DFT energy (no corrections): -3.58 eV/atom

Lattice parameters (Å, degrees): 5.099 5.099 5.099 90.00 90.00 90.00
Positions (direct):
Au: 0.500 0.500 0.500
Cr: 0.000 0.000 0.000
Br: 0.000 0.000 0.500
Br: 0.000 0.500 0.000
Br: 0.500 0.000 0.000